[1]
An optimized crystal structure of Nd6Sm2DyTh, computed with PBE.

Fermi-level density of states: 1.45 states/eV/atom
DFT total energy: -4.863 eV per atom
Formation energy: 13.8 kJ/mol of atoms
SG: C2/c, No. 15

abc: 9.9699 8.8793 8.8793
angles: 116.89 94.92 94.92
Sites, in units of the cell vectors:
Sm 0.4532 0.8044 0.7135
Sm 0.0468 0.2865 0.1956
Sm 0.9532 0.7135 0.8044
Sm 0.5468 0.1956 0.2865
Nd 0.9445 0.8892 0.2507
Nd 0.8121 0.4229 0.9870
Nd 0.5555 0.7493 0.1108
Nd 0.3795 0.5062 0.2990
Nd 0.6879 0.0130 0.5771
Nd 0.3121 0.9870 0.4229
Nd 0.8795 0.2990 0.5062
Nd 0.6205 0.4938 0.7010
Nd 0.1879 0.5771 0.0130
Nd 0.0555 0.1108 0.7493
Nd 0.1205 0.7010 0.4938
Nd 0.4445 0.2507 0.8892
Dy 0.7500 0.5935 0.4065
Dy 0.2500 0.4065 0.5935
Th 0.2500 0.9786 0.0214
Th 0.7500 0.0214 0.9786

***

[2]
An optimized crystal structure of Tm4ZrTl3, computed with PBE.

Fermi-level density of states: 0.69 states/eV/atom
DFT total energy: -4.415 eV per atom
Formation energy: -21.6 kJ/mol of atoms
SG: P4/mmm, No. 123

abc: 3.5490 3.5490 16.8434
angles: 90.00 90.00 90.00
Last column: magnetic moment on the atom in μB.
Sites, in units of the cell vectors:
Tm 0.0000 0.0000 0.6245  0.11
Tm 0.0000 0.0000 0.1277  0.00
Tm 0.0000 0.0000 0.3755  0.11
Tm 0.0000 0.0000 0.8723  0.00
Tl 0.5000 0.5000 0.2533  0.00
Tl 0.5000 0.5000 0.5000  0.00
Tl 0.5000 0.5000 0.7467  0.00
Zr 0.5000 0.5000 0.0000  0.00

***

[3]
An optimized crystal structure of Na8Cd6Ag, computed with PBE.

Fermi-level density of states: 0.34 states/eV/atom
DFT total energy: -1.320 eV per atom
Formation energy: -5.8 kJ/mol of atoms
SG: R-3m, No. 166

abc: 9.2908 9.2908 7.6718
angles: 52.73 52.73 60.00
Sites, in units of the cell vectors:
Cd 0.3262 0.6736 0.0000
Cd 0.0001 0.3262 0.0000
Cd 0.6736 0.0001 0.0000
Cd 0.9998 0.6738 0.0000
Cd 0.3264 0.9998 0.0000
Cd 0.6738 0.3264 0.0000
Na 0.6180 0.6180 0.1460
Na 0.2899 0.9257 0.4936
Na 0.0743 0.7092 0.5064
Na 0.2908 0.2899 0.4936
Na 0.7092 0.7101 0.5064
Na 0.9257 0.2908 0.4936
Na 0.7101 0.0743 0.5064
Na 0.3820 0.3820 0.8540
Ag 0.0000 0.0000 0.0000

***

[4]
An optimized crystal structure of CoSeCl2, computed with PBE.

Uncorrected formation energy: 0.79 kcal/mol of atoms
ΔE to the lowest computed polymorph: 280.5 meV/atom
Fermi-level density of states: 0.73 states/eV/atom
DFT total energy: -3.537 eV per atom
SG: C2/m, No. 12

abc: 3.6378 3.6378 7.8107
angles: 99.79 99.79 54.14
Last column: magnetic moment on the atom in μB.
Sites, in units of the cell vectors:
Cl 0.3849 0.3849 0.5775  0.08
Cl 0.1151 0.1151 0.9225  0.08
Co 0.7500 0.7500 0.7500  1.99
Se 0.2500 0.2500 0.2500  -0.18

***

[5]
An optimized crystal structure of TeOsPb2, computed with PBE.

Uncorrected formation energy: 8.99 kcal/mol of atoms
Fermi-level density of states: 0.82 states/eV/atom
DFT total energy: -5.057 eV per atom
SG: R3m, No. 160

abc: 10.0911 10.0911 10.0911
angles: 20.26 20.26 20.26
Last column: magnetic moment on the atom in μB.
Sites, in units of the cell vectors:
Os 0.7558 0.7558 0.7558  0.42
Te 0.4755 0.4755 0.4755  -0.01
Pb 0.0165 0.0165 0.0165  0.00
Pb 0.2523 0.2523 0.2523  0.01

***

[6]
An optimized crystal structure of BaInAg2Os, computed with PBE.

Fermi-level density of states: 0.97 states/eV/atom
DFT total energy: -2.556 eV per atom
Formation energy: 170.1 kJ/mol of atoms
SG: P4/mmm, No. 123

abc: 5.9988 5.5139 5.9988
angles: 90.00 90.00 90.00
Last column: magnetic moment on the atom in μB.
Sites, in units of the cell vectors:
Os 0.0000 0.5000 0.0000  2.08
Ba 0.0000 0.0000 0.0000  0.03
Ag 0.0000 0.0000 0.5000  0.06
Ag 0.5000 0.0000 0.0000  0.04
In 0.5000 0.5000 0.5000  0.00